(1)
9
Lattice="-5.497 5.497 2.593 5.497 -5.497 2.593 5.497 5.497 -2.593" Properties=species:S:1:pos:R:3 comment="LaPm8 | Alexandria | PBE | optimized geometry" total_magnetization_mub_per_fu=0.0 total_energy_ev_per_atom=-4.75 e_form_ev_per_atom=0.02 pbc="T T T"
La 0.000 0.000 0.000
Pm 3.675 0.000 0.000
Pm 7.319 0.000 0.000
Pm 3.655 3.655 0.000
Pm 1.842 -1.842 2.593
Pm 0.000 3.675 0.000
Pm 0.000 7.319 0.000
Pm -1.842 1.842 2.593
Pm 1.842 1.842 2.593

=====

(2)
4
Lattice="2.732 0.000 0.000 0.000 2.732 0.000 0.000 0.000 9.192" Properties=species:S:1:pos:R:3 comment="MgZrTc2 | Alexandria | PBE | optimized geometry" total_magnetization_mub_per_fu=0.0 total_energy_ev_per_atom=-7.43 e_form_ev_per_atom=0.29 pbc="T T T"
Mg 0.000 0.000 0.000
Zr 0.000 0.000 4.596
Tc 1.366 1.366 2.207
Tc 1.366 1.366 6.985

=====

(3)
7
Lattice="-2.195 2.195 8.137 2.195 -2.195 8.137 2.195 2.195 -8.137" Properties=species:S:1:pos:R:3 comment="Tb2Sc2Sn2O | Alexandria | PBE | optimized geometry" e_form_raw_mev_per_atom=-1395 total_magnetization_mub_per_fu=0.5 total_energy_ev_per_atom=-6.38 pbc="T T T"
Tb 0.000 0.000 2.760
Tb 0.000 0.000 13.514
Sc 2.195 0.000 0.000
Sc 0.000 2.195 0.000
Sn 0.000 0.000 5.951
Sn 0.000 0.000 10.324
O 0.000 0.000 0.000

=====

(4)
80
Lattice="-8.766 8.766 8.766 8.766 -8.766 8.766 8.766 8.766 -8.766" Properties=species:S:1:pos:R:3 comment="Sr12Cd3F5 | Alexandria | PBE | optimized geometry" e_form_raw_mev_per_atom=-1448 total_magnetization_mub_per_fu=0.0 total_energy_ev_per_atom=-3.06 pbc="T T T"
Sr 2.681 -0.634 0.957
Sr 10.468 5.340 -5.017
Sr 11.448 0.634 0.957
Sr 10.468 -3.427 5.017
Sr 8.132 -0.957 2.681
Sr 13.784 -1.702 3.427
Sr 0.957 2.681 -0.634
Sr 12.193 3.749 -1.702
Sr 5.340 5.017 -1.702
Sr 7.810 2.681 0.634
Sr -0.634 0.957 2.681
Sr 5.017 -1.702 5.340
Sr 8.132 7.810 -2.681
Sr 5.017 1.702 3.427
Sr 5.340 -5.017 10.468
Sr 7.810 -2.681 8.132
Sr 3.427 5.017 1.702
Sr 9.723 6.085 0.634
Sr 5.017 10.468 -3.427
Sr 8.132 0.957 6.085
Sr 2.681 8.132 -0.957
Sr 10.468 3.427 3.749
Sr 1.702 3.427 5.017
Sr 2.681 0.634 7.810
Sr 6.085 8.132 0.957
Sr 7.065 5.340 3.749
Sr -1.702 5.340 5.017
Sr 6.085 0.634 9.723
Sr 0.634 7.810 2.681
Sr 3.749 -1.702 12.193
Sr -0.957 2.681 8.132
Sr 5.340 3.749 7.065
Sr 0.957 11.448 0.634
Sr 3.427 13.784 -1.702
Sr 3.749 7.065 5.340
Sr 0.634 0.957 11.448
Sr 3.749 10.468 3.427
Sr 9.400 7.810 6.085
Sr 0.957 6.085 8.132
Sr 3.427 3.749 10.468
Sr -3.427 5.017 10.468
Sr 7.810 6.085 9.400
Sr -5.017 10.468 5.340
Sr 0.634 9.723 6.085
Sr -1.702 12.193 3.749
Sr -2.681 8.132 7.810
Sr -1.702 3.427 13.784
Sr 6.085 9.400 7.810
Cd 4.383 2.192 0.000
Cd 8.766 4.383 -2.192
Cd 2.192 0.000 4.383
Cd 10.958 0.000 4.383
Cd 0.000 4.383 2.192
Cd 4.383 -2.192 8.766
Cd 4.383 10.958 0.000
Cd 8.766 4.383 6.575
Cd -2.192 8.766 4.383
Cd 6.575 8.766 4.383
Cd 0.000 4.383 10.958
Cd 4.383 6.575 8.766
F 0.000 0.000 0.000
F 4.383 4.383 -4.383
F 4.383 -4.383 4.383
F 8.766 0.000 0.000
F 13.150 2.192 0.000
F 8.766 -4.383 6.575
F 6.575 8.766 -4.383
F 6.575 0.000 4.383
F 4.383 6.575 0.000
F 8.766 4.383 2.192
F -4.383 4.383 4.383
F 0.000 8.766 0.000
F 0.000 0.000 8.766
F 4.383 4.383 4.383
F 0.000 4.383 6.575
F 4.383 2.192 8.766
F 2.192 8.766 4.383
F 2.192 0.000 13.150
F 0.000 13.150 2.192
F -4.383 6.575 8.766

=====

(5)
4
Lattice="1.528 0.882 9.459 -1.528 0.882 9.459 0.000 -1.765 9.459" Properties=species:S:1:pos:R:3 comment="TcAu2Br | Alexandria | PBE | optimized geometry" e_form_raw_mev_per_atom=343 total_magnetization_mub_per_fu=0.0 total_energy_ev_per_atom=-4.31 pbc="T T T"
Tc 0.000 0.000 0.000
Au 0.000 0.000 13.903
Au 0.000 0.000 21.065
Br 0.000 0.000 7.592

=====

(6)
4
Lattice="2.987 0.000 0.000 0.000 4.302 0.000 0.000 0.000 7.317" Properties=species:S:1:pos:R:3 comment="KAg2Au | Alexandria | PBE | optimized geometry" total_magnetization_mub_per_fu=0.0 total_energy_ev_per_atom=-2.44 e_form_ev_per_atom=0.08 pbc="T T T"
K 0.000 0.000 0.000
Ag 1.493 2.151 2.278
Ag 1.493 2.151 5.039
Au 0.000 0.000 3.659

=====

(7)
12
Lattice="6.776 0.000 0.000 0.000 17.901 0.000 0.000 0.000 3.419" Properties=species:S:1:pos:R:3 comment="Pm3Nd2Tm | Alexandria | PBE | optimized geometry" total_magnetization_mub_per_fu=0.0 total_energy_ev_per_atom=-4.46 e_form_ev_per_atom=0.25 pbc="T T T"
Pm 0.000 0.000 0.000
Pm 1.637 5.754 0.000
Pm 1.751 14.705 1.710
Pm 3.388 8.950 1.710
Pm 5.024 3.196 1.710
Pm 5.139 12.147 0.000
Nd 1.598 2.684 1.710
Nd 1.789 11.634 0.000
Nd 4.986 6.267 0.000
Nd 5.177 15.217 1.710
Tm 0.000 8.950 0.000
Tm 3.388 0.000 1.710

=====

(8)
5
Lattice="5.243 0.000 0.000 0.000 5.243 0.000 0.000 0.000 5.260" Properties=species:S:1:pos:R:3 comment="VAsSeBr2 | Alexandria | PBE | optimized geometry" e_form_raw_mev_per_atom=843 total_magnetization_mub_per_fu=3.2 total_energy_ev_per_atom=-3.28 pbc="T T T"
V 0.000 0.000 0.000
As 2.621 2.621 0.000
Se 2.621 2.621 2.630
Br 0.000 2.621 2.630
Br 2.621 0.000 2.630